[1]
Crystalline HfAg2Pd9 at its relaxed geometry, computed with PBE.

Formation energy from the elements, eV/atom: -0.311
Energy, eV/cell: -66.1
Fermi-level density of states, states/eV per atom: 0.99
Total moment, μB per formula unit: 0.00
SG: P4/mmm, No. 123

Geometry as POSCAR:
```
HfAg2Pd9
1.0
4.011 0.000 0.000
0.000 4.011 0.000
0.000 0.000 11.982
Pd Ag Hf
9 2 1
direct
0.500 0.000 0.163
0.000 0.500 0.837
0.500 0.500 0.332
0.500 0.000 0.837
0.500 0.500 0.668
0.500 0.000 0.500
0.500 0.500 0.000
0.000 0.500 0.500
0.000 0.500 0.163
0.000 0.000 0.665
0.000 0.000 0.335
0.000 0.000 0.000
```


[2]
Crystalline HfAgPd14 at its relaxed geometry, computed with PBE.

Formation energy from the elements, eV/atom: -0.225
Energy, eV/cell: -89.1
Fermi-level density of states, states/eV per atom: 1.74
Total moment, μB per formula unit: 0.00
SG: P4/mmm, No. 123

Geometry as POSCAR:
```
HfAgPd14
1.0
5.654 -0.012 0.000
0.012 5.653 0.000
0.000 0.000 7.893
Pd Ag Hf
14 1 1
direct
0.628 0.122 0.250
0.122 0.122 0.250
0.628 0.628 0.250
0.628 0.122 0.750
0.875 0.875 0.000
0.122 0.628 0.750
0.375 0.875 0.000
0.875 0.375 0.500
0.375 0.375 0.000
0.122 0.122 0.750
0.628 0.628 0.750
0.122 0.628 0.250
0.875 0.375 0.000
0.375 0.875 0.500
0.375 0.375 0.500
0.875 0.875 0.500
```


[3]
Crystalline Hf2Ag2Pd5 at its relaxed geometry, computed with PBE.

Formation energy from the elements, eV/atom: -0.318
Energy, eV/cell: -108.9
Fermi-level density of states, states/eV per atom: 0.31
Total moment, μB per formula unit: 0.00
SG: Ima2, No. 46

Geometry as POSCAR:
```
Hf2Ag2Pd5
1.0
-0.383 8.557 1.878
-4.792 -0.734 2.366
5.714 -5.081 3.846
Pd Ag Hf
10 4 4
direct
0.185 0.631 0.860
0.497 0.583 0.307
0.503 0.276 0.693
0.825 0.272 0.140
0.167 0.896 0.500
0.690 0.776 0.693
0.310 0.083 0.307
0.815 0.772 0.140
0.175 0.131 0.860
0.833 0.396 0.500
0.539 0.021 0.186
0.148 0.521 0.186
0.852 0.335 0.814
0.461 0.835 0.814
0.000 0.937 0.000
0.140 0.384 0.500
0.500 0.437 0.000
0.860 0.884 0.500
```


[4]
Crystalline Hf2AgPd at its relaxed geometry, computed with PBE.

Formation energy from the elements, eV/atom: 0.084
Energy, eV/cell: -55.2
Fermi-level density of states, states/eV per atom: 1.21
Total moment, μB per formula unit: 0.00
SG: I-42d, No. 122

Geometry as POSCAR:
```
Hf2AgPd
1.0
-2.646 2.823 -6.482
5.488 -3.543 -3.783
-0.263 -2.641 -5.439
Hf Ag Pd
4 2 2
direct
0.875 0.852 0.750
0.375 0.398 0.750
0.602 0.125 0.250
0.148 0.625 0.250
0.000 0.000 0.000
0.750 0.250 0.500
0.500 0.500 0.000
0.250 0.750 0.500
```